Record 1
Ce2ErSnN | PBE-GGA | optimized geometry

Calculated values
E_form (uncorrected) ... -0.970 eV per atom
ρ ... 8.37 g/cm³
Magnetic moment ... 0.335 μB/atom
Space-group type ... P4/mmm

Cell lengths 4.8914, 4.8914, 4.8122 Å; angles 90.00, 90.00, 90.00 degrees
With the nearest neighbours (Å) after each atom.
Atoms (fractional coordinates):
Ce: 0.0000 0.5000 0.0000  2 N 2.45
Ce: 0.5000 0.0000 0.0000  2 N 2.45
Er: 0.0000 0.0000 0.5000  2 N 2.41
Sn: 0.5000 0.5000 0.5000  8 Ce 3.43, 4 Er 3.46
N: 0.0000 0.0000 0.0000  2 Er 2.41, 4 Ce 2.45

---

Record 2
Ce2ErTaN4 | PBE-GGA | optimized geometry

Calculated values
E_form (uncorrected) ... -1.492 eV per atom
ρ ... 10.28 g/cm³
Magnetic moment ... 0.000 μB/atom
Space-group type ... P2/m

Cell lengths 5.8310, 3.3472, 5.9823 Å; angles 90.00, 108.73, 90.00 degrees
With the nearest neighbours (Å) after each atom.
Atoms (fractional coordinates):
Ce: 0.0000 0.0000 0.0000  6 N 2.56-2.61
Ce: 0.5000 0.5000 0.0000  6 N 2.45
Er: 0.0000 0.5000 0.5000  6 N 2.37
Ta: 0.5000 0.0000 0.5000  6 N 2.20-2.25
N: 0.2637 0.0000 0.7211  1 Ta 2.20, 2 Er 2.37, 2 Ce 2.45
N: 0.2786 0.5000 0.2852  2 Ta 2.25, 1 Er 2.37, 1 Ce 2.45
N: 0.7214 0.5000 0.7148  2 Ta 2.25, 1 Er 2.37, 1 Ce 2.45
N: 0.7363 0.0000 0.2789  1 Ta 2.20, 2 Er 2.37, 2 Ce 2.45

---

Record 3
Ce3Er2TaN6 | PBE-GGA | optimized geometry

Calculated values
E_form (uncorrected) ... -1.544 eV per atom
ρ ... 9.93 g/cm³
Magnetic moment ... 0.000 μB/atom
Space-group type ... C2/m

Cell lengths 5.8943, 5.8943, 5.9991 Å; angles 99.42, 99.42, 119.99 degrees
With the nearest neighbours (Å) after each atom.
Atoms (fractional coordinates):
Ce: 0.0000 0.0000 0.0000  6 N 2.46-2.60
Ce: 0.3319 0.6681 0.0000  6 N 2.46-2.61
Ce: 0.6681 0.3319 0.0000  6 N 2.46-2.61
Er: 0.1664 0.8336 0.5000  6 N 2.40-2.41
Er: 0.8336 0.1664 0.5000  6 N 2.40-2.41
Ta: 0.5000 0.5000 0.5000  6 N 2.22-2.24
N: 0.1154 0.4256 0.2769  1 Ta 2.22, 2 Er 2.40, 2 Ce 2.46-2.47
N: 0.2653 0.2653 0.7281  1 Ta 2.24, 2 Er 2.41, 2 Ce 2.46
N: 0.4256 0.1154 0.2769  1 Ta 2.22, 2 Er 2.40, 2 Ce 2.46-2.47
N: 0.5744 0.8846 0.7231  1 Ta 2.22, 2 Er 2.40, 2 Ce 2.46-2.47
N: 0.7347 0.7347 0.2719  1 Ta 2.24, 2 Er 2.41, 2 Ce 2.46
N: 0.8846 0.5744 0.7231  1 Ta 2.22, 2 Er 2.40, 2 Ce 2.46-2.47

---

Record 4
Tb2Ce3ErN6 | PBE-GGA | optimized geometry

Calculated values
E_form (uncorrected) ... -1.593 eV per atom
ρ ... 8.87 g/cm³
Magnetic moment ... 0.065 μB/atom
Space-group type ... C2/m

Cell lengths 6.0980, 6.0980, 6.1016 Å; angles 99.59, 99.59, 119.99 degrees
With the nearest neighbours (Å) after each atom.
Atoms (fractional coordinates):
Tb: 0.1666 0.8334 0.0000  6 N 2.49-2.50
Tb: 0.8334 0.1666 0.0000  6 N 2.49-2.50
Ce: 0.0000 0.0000 0.5000  6 N 2.49-2.51
Ce: 0.3334 0.6666 0.5000  6 N 2.48-2.52
Ce: 0.6666 0.3334 0.5000  6 N 2.48-2.52
Er: 0.5000 0.5000 0.0000  6 N 2.47
N: 0.0877 0.4172 0.7518  1 Er 2.47, 3 Ce 2.49-2.52, 2 Tb 2.49
N: 0.2535 0.2535 0.2488  1 Er 2.47, 3 Ce 2.48-2.51, 2 Tb 2.50
N: 0.4172 0.0877 0.7518  1 Er 2.47, 3 Ce 2.49-2.52, 2 Tb 2.49
N: 0.5828 0.9123 0.2482  1 Er 2.47, 3 Ce 2.49-2.52, 2 Tb 2.49
N: 0.7465 0.7465 0.7512  1 Er 2.47, 3 Ce 2.48-2.51, 2 Tb 2.50
N: 0.9123 0.5828 0.2482  1 Er 2.47, 3 Ce 2.49-2.52, 2 Tb 2.49

---

Record 5
Tb2CeErN4 | PBE-GGA | optimized geometry

Calculated values
E_form (uncorrected) ... -1.649 eV per atom
ρ ... 9.37 g/cm³
Magnetic moment ... 0.000 μB/atom
Space-group type ... P2/m

Cell lengths 6.0443, 3.5005, 6.0467 Å; angles 90.00, 109.30, 90.00 degrees
With the nearest neighbours (Å) after each atom.
Atoms (fractional coordinates):
Tb: 0.0000 0.0000 0.0000  6 N 2.48-2.49
Tb: 0.5000 0.5000 0.0000  6 N 2.48-2.49
Ce: 0.0000 0.5000 0.5000  6 N 2.44-2.47
Er: 0.5000 0.0000 0.5000  6 N 2.45-2.46
N: 0.2504 0.0000 0.7468  1 Er 2.45, 2 Ce 2.47, 3 Tb 2.48
N: 0.2509 0.5000 0.2555  1 Ce 2.44, 2 Er 2.46, 3 Tb 2.49
N: 0.7491 0.5000 0.7445  1 Ce 2.44, 2 Er 2.46, 3 Tb 2.49
N: 0.7496 0.0000 0.2532  1 Er 2.45, 2 Ce 2.47, 3 Tb 2.48

---

Record 6
TbCeEr2N4 | PBE-GGA | optimized geometry

Calculated values
E_form (uncorrected) ... -1.673 eV per atom
ρ ... 9.62 g/cm³
Magnetic moment ... 0.019 μB/atom
Space-group type ... P2/m

Cell lengths 6.0179, 3.4818, 6.0185 Å; angles 90.00, 109.31, 90.00 degrees
With the nearest neighbours (Å) after each atom.
Atoms (fractional coordinates):
Tb: 0.0000 0.0000 0.0000  6 N 2.47-2.48
Ce: 0.5000 0.5000 0.0000  6 N 2.45-2.47
Er: 0.0000 0.5000 0.5000  6 N 2.45-2.46
Er: 0.5000 0.0000 0.5000  6 N 2.44-2.45
N: 0.2492 0.0000 0.7457  3 Er 2.44-2.45, 1 Tb 2.47, 2 Ce 2.47
N: 0.2538 0.5000 0.2527  3 Er 2.45-2.46, 1 Ce 2.45, 2 Tb 2.48
N: 0.7462 0.5000 0.7473  3 Er 2.45-2.46, 1 Ce 2.45, 2 Tb 2.48
N: 0.7508 0.0000 0.2543  3 Er 2.44-2.45, 1 Tb 2.47, 2 Ce 2.47

---

Record 7
TbCeErN3 | PBE-GGA | optimized geometry

Calculated values
E_form (uncorrected) ... -1.410 eV per atom
ρ ... 9.16 g/cm³
Magnetic moment ... 0.137 μB/atom
Space-group type ... P2_1/m

Cell lengths 6.0046, 3.4529, 9.0786 Å; angles 90.00, 101.64, 90.00 degrees
With the nearest neighbours (Å) after each atom.
Atoms (fractional coordinates):
Tb: 0.1470 0.2500 0.1393  5 N 2.31-2.50
Tb: 0.8530 0.7500 0.8607  5 N 2.31-2.50
Ce: 0.3427 0.2500 0.8034  7 N 2.53-2.69
Ce: 0.6573 0.7500 0.1966  7 N 2.53-2.69
Er: 0.2295 0.7500 0.4556  4 N 2.32-2.42
Er: 0.7705 0.2500 0.5444  4 N 2.32-2.42
N: 0.0362 0.7500 0.6523  3 Er 2.32-2.42, 1 Tb 2.37
N: 0.2596 0.7500 0.9966  3 Tb 2.34-2.50, 2 Ce 2.58
N: 0.4636 0.2500 0.3321  1 Tb 2.31, 1 Er 2.38, 2 Ce 2.53
N: 0.5364 0.7500 0.6679  1 Tb 2.31, 1 Er 2.38, 2 Ce 2.53
N: 0.7404 0.2500 0.0034  3 Tb 2.34-2.50, 2 Ce 2.58
N: 0.9638 0.2500 0.3477  3 Er 2.32-2.42, 1 Tb 2.37

---

Record 8
TbCe3Er2N6 | PBE-GGA | optimized geometry

Calculated values
E_form (uncorrected) ... -1.607 eV per atom
ρ ... 9.03 g/cm³
Magnetic moment ... 0.069 μB/atom
Space-group type ... C2/m

Cell lengths 6.0759, 6.0759, 6.0856 Å; angles 99.58, 99.58, 120.00 degrees
With the nearest neighbours (Å) after each atom.
Atoms (fractional coordinates):
Tb: 0.0000 0.0000 0.0000  6 N 2.49
Ce: 0.1666 0.8334 0.5000  6 N 2.47-2.51
Ce: 0.5000 0.5000 0.5000  6 N 2.48-2.50
Ce: 0.8334 0.1666 0.5000  6 N 2.47-2.51
Er: 0.3333 0.6667 0.0000  6 N 2.46
Er: 0.6667 0.3333 0.0000  6 N 2.46
N: 0.0821 0.4194 0.2464  2 Er 2.46, 3 Ce 2.47-2.50, 1 Tb 2.49
N: 0.2553 0.2553 0.7542  2 Er 2.46, 3 Ce 2.48-2.51, 1 Tb 2.49
N: 0.4194 0.0821 0.2464  2 Er 2.46, 3 Ce 2.47-2.50, 1 Tb 2.49
N: 0.5806 0.9179 0.7536  2 Er 2.46, 3 Ce 2.47-2.50, 1 Tb 2.49
N: 0.7447 0.7447 0.2458  2 Er 2.46, 3 Ce 2.48-2.51, 1 Tb 2.49
N: 0.9179 0.5806 0.7536  2 Er 2.46, 3 Ce 2.47-2.50, 1 Tb 2.49

---

Record 9
CeErTe2N | PBE-GGA | optimized geometry

Calculated values
E_form (uncorrected) ... -1.383 eV per atom
ρ ... 7.08 g/cm³
Magnetic moment ... 0.000 μB/atom
Space-group type ... P4/nmm

Cell lengths 4.1528, 4.1528, 15.6892 Å; angles 90.00, 90.00, 90.00 degrees
With the nearest neighbours (Å) after each atom.
Atoms (fractional coordinates):
Ce: 0.2500 0.2500 0.0673  4 N 2.33
Ce: 0.7500 0.7500 0.9327  4 N 2.33
Er: 0.2500 0.2500 0.6308  5 Te 2.85-3.03
Er: 0.7500 0.7500 0.3692  5 Te 2.85-3.03
Te: 0.2500 0.2500 0.4164  5 Er 3.03-3.36
Te: 0.2500 0.2500 0.8122  1 Er 2.85
Te: 0.7500 0.7500 0.1878  1 Er 2.85
Te: 0.7500 0.7500 0.5836  5 Er 3.03-3.36
N: 0.2500 0.7500 0.0000  4 Ce 2.33
N: 0.7500 0.2500 0.0000  4 Ce 2.33

---

Record 10
CeErTeN2 | PBE-GGA | optimized geometry

Calculated values
E_form (uncorrected) ... -1.324 eV per atom
ρ ... 7.35 g/cm³
Magnetic moment ... 0.000 μB/atom
Space-group type ... I4mm

Cell lengths 7.2161, 7.2161, 7.2161 Å; angles 148.09, 148.09, 45.75 degrees
With the nearest neighbours (Å) after each atom.
Atoms (fractional coordinates):
Ce: 0.0000 0.0000 0.0000  4 N 2.24
Er: 0.6586 0.6586 0.0000  4 N 2.25
Te: 0.3291 0.3291 0.0000  4 Er 3.61, 4 Ce 3.61, 8 N 3.86-3.88, 4 Te 3.97
N: 0.0783 0.5783 0.5000  2 Ce 2.24, 2 Er 2.25
N: 0.5783 0.0783 0.5000  2 Ce 2.24, 2 Er 2.25

---

Record 11
Ce3Er2ThN6 | PBE-GGA | optimized geometry

Calculated values
E_form (uncorrected) ... -1.590 eV per atom
ρ ... 9.43 g/cm³
Magnetic moment ... 0.058 μB/atom
Space-group type ... C2/m

Cell lengths 6.1302, 6.1302, 6.1458 Å; angles 99.55, 99.55, 120.00 degrees
With the nearest neighbours (Å) after each atom.
Atoms (fractional coordinates):
Ce: 0.0000 0.0000 0.0000  6 N 2.50-2.54
Ce: 0.3320 0.6680 0.0000  6 N 2.48-2.56
Ce: 0.6680 0.3320 0.0000  6 N 2.48-2.56
Er: 0.1664 0.8336 0.5000  6 N 2.46-2.47
Er: 0.8336 0.1664 0.5000  6 N 2.46-2.47
Th: 0.5000 0.5000 0.5000  6 N 2.51-2.52
N: 0.0786 0.4185 0.2552  2 Er 2.47, 3 Ce 2.48-2.54, 1 Th 2.52
N: 0.2412 0.2412 0.7432  2 Er 2.46, 3 Ce 2.50-2.56, 1 Th 2.51
N: 0.4185 0.0786 0.2552  2 Er 2.47, 3 Ce 2.48-2.54, 1 Th 2.52
N: 0.5815 0.9214 0.7448  2 Er 2.47, 3 Ce 2.48-2.54, 1 Th 2.52
N: 0.7588 0.7588 0.2568  2 Er 2.46, 3 Ce 2.50-2.56, 1 Th 2.51
N: 0.9214 0.5815 0.7448  2 Er 2.47, 3 Ce 2.48-2.54, 1 Th 2.52